Record 1
Compound: YTaMo3
Source: Alexandria
Functional: meta-GGA SCAN
Structure: single point on PBEsol structure

Computed properties:
- crystal system = cubic

Cell: 4.622 4.622 4.622 Å, 90.00 90.00 90.00°
Space group Pm-3m (No. 221)
Symmetry-distinct sites (fractional):
Y1 0.000 0.000 0.000 [1 per cell]
Ta1 0.500 0.500 0.500 [1 per cell]
Mo1 0.000 0.000 0.500 [3 per cell]



Record 2
Compound: YTa2Mo
Source: Alexandria
Functional: meta-GGA SCAN
Structure: single point on PBEsol structure

Computed properties:
- crystal system = orthorhombic
- energy above the most stable polymorph in this dataset (meV/atom) = 207.8

Cell: 2.769 4.753 5.804 Å, 90.00 90.00 90.00°
Space group Pmm2 (No. 25)
Symmetry-distinct sites (fractional):
Y1 0.000 0.000 0.000 [1 per cell]
Ta1 0.000 0.000 0.493 [1 per cell]
Ta2 0.500 0.500 0.721 [1 per cell]
Mo1 0.500 0.500 0.268 [1 per cell]



Record 3
Compound: YTaMo4
Source: Alexandria
Functional: meta-GGA SCAN
Structure: single point on PBEsol structure

Computed properties:
- crystal system = cubic

Cell: 7.526 7.526 7.526 Å, 90.00 90.00 90.00°
Space group F-43m (No. 216)
Symmetry-distinct sites (fractional):
Y1 0.000 0.000 0.000 [4 per cell]
Ta1 0.250 0.250 0.250 [4 per cell]
Mo1 0.125 0.125 0.625 [16 per cell]



Record 4
Compound: TaZnMo2
Source: Alexandria
Functional: meta-GGA SCAN
Structure: single point on PBEsol structure

Computed properties:
- crystal system = orthorhombic

Cell: 3.705 3.963 4.167 Å, 90.00 90.00 90.00°
Space group Pmmm (No. 47)
Symmetry-distinct sites (fractional):
Ta1 0.000 0.000 0.000 [1 per cell]
Zn1 0.500 0.500 0.000 [1 per cell]
Mo1 0.000 0.500 0.500 [1 per cell]
Mo2 0.500 0.000 0.500 [1 per cell]



Record 5
Compound: TaZnMo4
Source: Alexandria
Functional: meta-GGA SCAN
Structure: single point on PBEsol structure

Computed properties:
- crystal system = cubic

Cell: 7.297 7.297 7.297 Å, 90.00 90.00 90.00°
Space group F-43m (No. 216)
Symmetry-distinct sites (fractional):
Ta1 0.000 0.000 0.000 [4 per cell]
Zn1 0.250 0.250 0.250 [4 per cell]
Mo1 0.124 0.124 0.624 [16 per cell]



Record 6
Compound: TaZnMo
Source: Alexandria
Functional: meta-GGA SCAN
Structure: single point on PBEsol structure

Computed properties:
- crystal system = orthorhombic
- energy above the most stable polymorph in this dataset (meV/atom) = 0.0

Cell: 3.311 4.261 13.238 Å, 90.00 90.00 90.00°
Space group Fmm2 (No. 42)
Symmetry-distinct sites (fractional):
Ta1 0.000 0.000 0.000 [4 per cell]
Zn1 0.000 0.000 0.332 [4 per cell]
Mo1 0.000 0.000 0.672 [4 per cell]



Record 7
Compound: Ta3ZnMo
Source: Alexandria
Functional: meta-GGA SCAN
Structure: single point on PBEsol structure

Computed properties:
- crystal system = cubic

Cell: 4.585 4.585 4.585 Å, 90.00 90.00 90.00°
Space group Pm-3m (No. 221)
Symmetry-distinct sites (fractional):
Ta1 0.000 0.000 0.500 [3 per cell]
Zn1 0.000 0.000 0.000 [1 per cell]
Mo1 0.500 0.500 0.500 [1 per cell]



Record 8
Compound: TaZnMo
Source: Alexandria
Functional: meta-GGA SCAN
Structure: single point on PBEsol structure

Computed properties:
- crystal system = cubic
- energy above the most stable polymorph in this dataset (meV/atom) = 920.9

Cell: 6.080 6.080 6.080 Å, 90.00 90.00 90.00°
Space group F-43m (No. 216)
Symmetry-distinct sites (fractional):
Ta1 0.000 0.000 0.000 [4 per cell]
Zn1 0.000 0.000 0.500 [4 per cell]
Mo1 0.250 0.250 0.250 [4 per cell]



Calculated values (eV per atom) of calculated formation energy for the records, taken in order: 2.565, 0.501, 0.109, 0.039, 0.252, 0.021, 1.518, 0.942.